Entry 1:
Computed, not measured: a relaxed structure of CaAgBr2 at the PBE level of DFT.

Values from the calculation:
The space group is I-4m2, No. 119. The calculation puts the uncorrected formation energy at -0.851 eV per atom. Its excess energy over the best structure of this formula in the dataset is 210 meV per atom.

Unit cell a=6.450 b=6.450 c=6.450 alpha=141.42 beta=141.42 gamma=55.70
Element x y z (fractional)
Ca 0.000 0.000 0.000
Ag 0.250 0.750 0.500
Br 0.500 0.500 0.000
Br 0.750 0.250 0.500


Entry 2:
Computed, not measured: a relaxed structure of SrOs3 at the PBE level of DFT.

Values from the calculation:
For the energy of formation, the calculation gives 759 meV per atom. The space group is P-6m2, No. 187.

Unit cell a=2.828 b=2.828 c=9.841 alpha=90.00 beta=90.00 gamma=120.00
Element x y z (fractional)
Sr 0.000 0.000 0.000
Os 0.000 0.000 0.500
Os 0.333 0.667 0.287
Os 0.333 0.667 0.713


Entry 3:
Computed, not measured: a relaxed structure of MgPN2 at the PBE level of DFT.

Values from the calculation:
The space group is Fm-3m, No. 225. The calculation puts the uncorrected formation energy at 1.041 eV per atom. Its excess energy over the best structure of this formula in the dataset is 1421 meV per atom.

Unit cell a=3.826 b=3.826 c=3.826 alpha=60.00 beta=60.00 gamma=60.00
Element x y z (fractional)
Mg 0.000 0.000 0.000
P 0.500 0.500 0.500
N 0.250 0.250 0.250
N 0.750 0.750 0.750


Entry 4:
Computed, not measured: a relaxed structure of Pm3Ho2Er5 at the PBE level of DFT.

Values from the calculation:
For the energy of formation, the calculation gives 344 meV per atom. The space group is Ibam, No. 72. Its excess energy over the best structure of this formula in the dataset is 148 meV per atom.

Unit cell a=11.034 b=11.034 c=11.034 alpha=108.81 beta=80.75 gamma=146.95
Element x y z (fractional)
Pm 0.246 0.158 0.404
Pm 0.250 0.250 0.000
Pm 0.254 0.658 0.912
Pm 0.746 0.342 0.088
Pm 0.750 0.750 0.000
Pm 0.754 0.842 0.596
Ho 0.156 0.897 0.053
Ho 0.344 0.397 0.741
Ho 0.656 0.603 0.259
Ho 0.844 0.103 0.947
Er 0.156 0.402 0.558
Er 0.250 0.503 0.253
Er 0.250 0.750 0.500
Er 0.250 0.997 0.747
Er 0.344 0.902 0.246
Er 0.656 0.098 0.754
Er 0.750 0.003 0.253
Er 0.750 0.250 0.500
Er 0.750 0.497 0.747
Er 0.844 0.598 0.442